Arrangement A

The following is a DFT calculation (PBEsol) of a relaxed SrMg2Zr crystal.

Output
space group: No. 71

POSCAR file:
```
SrMg2Zr
1.0
-0.105 3.125 1.586
-4.438 -1.548 2.755
5.540 -2.783 1.974
Mg Sr Zr
2 1 1
Cartesian
-0.767 -0.129 4.079
1.764 -1.076 2.237
-0.053 1.563 0.793
-2.219 -0.774 1.378
```

Arrangement B

The following is a DFT calculation (PBEsol) of a relaxed SrMg2Zr crystal.

Output
space group: No. 166

POSCAR file:
```
SrMg2Zr
1.0
-2.553 1.239 -1.756
-1.461 -1.857 -2.357
-8.466 -4.186 6.180
Mg Sr Zr
2 1 1
Cartesian
-2.968 -1.116 0.355
-9.512 -3.687 1.711
-6.240 -2.402 1.033
0.000 0.000 0.000
```

Verdict on stability: arrangement B comes out on top.

Arrangement A

The following is a DFT calculation (PBEsol) of a relaxed MgTaTc crystal.

Output
space group: No. 156

POSCAR file:
```
MgTaTc
1.0
2.750 0.000 0.000
0.000 4.520 0.000
0.000 -2.260 3.914
Mg Ta Tc
1 1 1
Cartesian
0.061 0.000 0.000
1.703 0.000 2.609
0.986 2.260 1.305
```

Arrangement B

The following is a DFT calculation (PBEsol) of a relaxed MgTaTc crystal.

Output
space group: No. 42

POSCAR file:
```
MgTaTc
1.0
-0.087 2.299 1.658
-2.465 -1.402 0.002
3.406 -4.186 4.464
Mg Ta Tc
1 1 1
Cartesian
0.826 -3.240 6.054
-0.509 -0.897 2.735
1.392 -2.442 3.459
```

Verdict on stability: arrangement A comes out on top.

Arrangement A

The following is a DFT calculation (PBEsol) of a relaxed MgTaTe crystal.

Output
space group: No. 42

POSCAR file:
```
MgTaTe
1.0
3.121 -0.017 0.000
-0.896 2.990 0.000
-1.112 -1.486 7.151
Mg Ta Te
1 1 1
Cartesian
0.000 0.000 0.246
1.112 1.486 2.424
0.000 0.000 4.481
```

Arrangement B

The following is a DFT calculation (PBEsol) of a relaxed MgTaTe crystal.

Output
space group: No. 107

POSCAR file:
```
MgTaTe
1.0
3.494 0.000 0.000
0.000 3.494 0.000
-1.747 -1.747 4.816
Mg Ta Te
1 1 1
Cartesian
0.000 0.000 0.024
1.747 1.747 1.702
0.000 0.000 3.091
```

Verdict on stability: arrangement B comes out on top.

Arrangement A

The following is a DFT calculation (PBEsol) of a relaxed YMg2Ta crystal.

Output
space group: No. 47

POSCAR file:
```
YMg2Ta
1.0
-1.659 -0.399 -2.557
3.371 -2.005 -1.875
-2.119 -5.678 2.260
Mg Ta Y
2 1 1
Cartesian
-1.647 -4.414 1.757
-0.472 -1.264 0.503
0.856 -1.202 -2.216
-0.203 -4.040 -1.086
```

Arrangement B

The following is a DFT calculation (PBEsol) of a relaxed YMg2Ta crystal.

Output
space group: No. 119

POSCAR file:
```
YMg2Ta
1.0
4.397 0.000 0.000
0.000 4.397 0.000
-2.199 -2.199 4.486
Mg Ta Y
2 1 1
Cartesian
0.000 0.000 0.000
2.199 0.000 2.243
2.199 2.199 0.000
0.000 2.199 2.243
```

Verdict on stability: arrangement A comes out on top.

Arrangement A

The following is a DFT calculation (PBEsol) of a relaxed MgTcTe crystal.

Output
space group: No. 216

POSCAR file:
```
MgTcTe
1.0
-0.502 4.233 1.113
-2.115 1.065 3.715
2.240 1.661 3.411
Mg Tc Te
1 1 1
Cartesian
-0.094 1.740 2.060
0.000 0.000 0.000
-0.188 3.480 4.120
```

Arrangement B

The following is a DFT calculation (PBEsol) of a relaxed MgTcTe crystal.

Output
space group: No. 42

POSCAR file:
```
MgTcTe
1.0
3.103 -0.004 0.000
-1.321 2.808 0.000
-0.891 -1.402 6.855
Mg Tc Te
1 1 1
Cartesian
0.891 1.402 6.633
0.000 0.000 4.535
0.891 1.402 2.542
```

Verdict on stability: arrangement B comes out on top.

Arrangement A

The following is a DFT calculation (PBEsol) of a relaxed Mg2TlTc crystal.

Output
space group: No. 12

POSCAR file:
```
Mg2TlTc
1.0
-2.491 -1.422 0.557
0.048 -1.997 -4.817
2.477 -3.011 3.463
Mg Tc Tl
2 1 1
Cartesian
0.024 -0.998 -2.409
1.238 -1.505 1.732
0.017 -3.215 -0.398
-1.246 -0.711 0.278
```

Arrangement B

The following is a DFT calculation (PBEsol) of a relaxed Mg2TlTc crystal.

Output
space group: No. 225

POSCAR file:
```
Mg2TlTc
1.0
-0.004 3.641 2.900
1.903 -0.392 4.231
3.983 2.204 0.974
Mg Tc Tl
2 1 1
Cartesian
1.471 1.363 2.026
4.412 4.090 6.079
0.000 0.000 0.000
2.941 2.727 4.053
```

Verdict on stability: arrangement A comes out on top.

Arrangement A

The following is a DFT calculation (PBEsol) of a relaxed Mg2TcW crystal.

Output
space group: No. 71

POSCAR file:
```
Mg2TcW
1.0
3.241 0.000 0.000
0.000 4.248 0.000
-1.621 -2.124 4.645
Mg Tc W
2 1 1
Cartesian
1.621 2.124 2.395
0.000 0.000 2.250
1.621 0.000 0.000
0.000 2.124 0.000
```

Arrangement B

The following is a DFT calculation (PBEsol) of a relaxed Mg2TcW crystal.

Output
space group: No. 44

POSCAR file:
```
Mg2TcW
1.0
3.271 0.000 0.000
0.000 4.720 0.000
-1.635 -2.360 4.393
Mg Tc W
2 1 1
Cartesian
1.635 2.360 4.337
1.635 0.000 2.313
1.635 2.360 0.188
0.000 2.360 1.949
```

Verdict on stability: arrangement A comes out on top.

Arrangement A

The following is a DFT calculation (PBEsol) of a relaxed YMg2Tc crystal.

Output
space group: No. 166

POSCAR file:
```
YMg2Tc
1.0
2.984 0.000 0.000
1.492 2.584 0.000
1.492 0.861 10.330
Mg Tc Y
2 1 1
Cartesian
1.492 0.861 2.939
4.476 2.584 7.391
2.984 1.723 5.165
0.000 0.000 0.000
```

Arrangement B

The following is a DFT calculation (PBEsol) of a relaxed YMg2Tc crystal.

Output
space group: No. 216

POSCAR file:
```
YMg2Tc
1.0
4.819 0.000 0.000
0.000 4.819 0.000
-2.409 -2.409 3.405
Mg Tc Y
2 1 1
Cartesian
0.000 0.000 0.000
2.409 0.000 1.702
2.409 2.409 0.000
0.000 2.409 1.702
```

Arrangement C

The following is a DFT calculation (PBEsol) of a relaxed YMg2Tc crystal.

Output
space group: No. 71

POSCAR file:
```
YMg2Tc
1.0
-1.254 1.806 2.661
-3.735 -2.778 0.125
4.889 -2.588 1.821
Mg Tc Y
2 1 1
Cartesian
-1.443 -1.837 2.806
1.342 -1.723 1.802
-1.868 -1.389 0.063
-0.627 0.903 1.331
```

Arrangement D

The following is a DFT calculation (PBEsol) of a relaxed YMg2Tc crystal.

Output
space group: No. 47

POSCAR file:
```
YMg2Tc
1.0
-3.612 -0.333 0.998
0.068 -4.201 -1.157
1.364 -1.224 4.525
Mg Tc Y
2 1 1
Cartesian
0.000 0.000 0.000
-1.772 -2.267 -0.079
-1.124 -0.779 2.762
0.716 -2.712 1.684
```

Verdict on stability: arrangement C comes out on top.